# 1
Density functional theory data (meta-GGA SCAN) for a PBEsol-optimized structure of LaTc2Sn2.

Cell and atoms, written as CIF:
```
data_LaTc2Sn2
_chemical_formula_sum 'La2 Tc4 Sn4'
_symmetry_space_group_name_H-M 'I 4/m m m'
_symmetry_Int_Tables_number 139
_symmetry_space_group_name_Hall '-I 4 2'
_cell_length_a 4.3148
_cell_length_b 4.3148
_cell_length_c 11.7245
_cell_angle_alpha 90.00
_cell_angle_beta 90.00
_cell_angle_gamma 90.00
loop_
_atom_site_label
_atom_site_type_symbol
_atom_site_fract_x
_atom_site_fract_y
_atom_site_fract_z
La1 La 0.0000 0.0000 0.0000
Tc1 Tc 0.0000 0.5000 0.2500
Sn1 Sn 0.0000 0.0000 0.3785
```

Output
As for the formation energy from the elements: -0.16 eV/atom. Its density of states at the Fermi level is 5.33 states/eV per cell. For the electronic total energy, the calculation gives -37.18 eV per atom.

=====

# 2
Density functional theory data (meta-GGA SCAN) for a PBEsol-optimized structure of La2TiSn2.

Cell and atoms, written as CIF:
```
data_La2TiSn2
_chemical_formula_sum 'La4 Ti2 Sn4'
_symmetry_space_group_name_H-M 'I 4/m m m'
_symmetry_Int_Tables_number 139
_symmetry_space_group_name_Hall '-I 4 2'
_cell_length_a 4.2005
_cell_length_b 4.2005
_cell_length_c 15.0251
_cell_angle_alpha 90.00
_cell_angle_beta 90.00
_cell_angle_gamma 90.00
loop_
_atom_site_label
_atom_site_type_symbol
_atom_site_fract_x
_atom_site_fract_y
_atom_site_fract_z
La1 La 0.0000 0.5000 0.2500
Ti1 Ti 0.0000 0.0000 0.0000
Sn1 Sn 0.0000 0.0000 0.4118
```

Output
As for the formation energy from the elements: 0.05 eV/atom. Its density of states at the Fermi level is 7.93 states/eV per cell. For the electronic total energy, the calculation gives -34.76 eV per atom.

=====

# 3
Density functional theory data (meta-GGA SCAN) for a PBEsol-optimized structure of La2Tl3Sn3.

Cell and atoms, written as CIF:
```
data_La2Tl3Sn3
_chemical_formula_sum 'La2 Tl3 Sn3'
_symmetry_space_group_name_H-M 'P m m m'
_symmetry_Int_Tables_number 47
_cell_length_a 4.7225
_cell_length_b 4.7670
_cell_length_c 9.5486
_cell_angle_alpha 90.00
_cell_angle_beta 90.00
_cell_angle_gamma 90.00
loop_
_symmetry_equiv_pos_as_xyz
'x,y,z'
'-x,-y,-z'
'-x,-y,z'
'x,y,-z'
'x,-y,-z'
'-x,y,z'
'-x,y,-z'
'x,-y,z'
loop_
_atom_site_label
_atom_site_type_symbol
_atom_site_fract_x
_atom_site_fract_y
_atom_site_fract_z
La1 La 0.0000 0.0000 0.2434
Tl1 Tl 0.0000 0.5000 0.0000
Tl2 Tl 0.0000 0.5000 0.5000
Tl3 Tl 0.5000 0.0000 0.5000
Sn1 Sn 0.5000 0.0000 0.0000
Sn2 Sn 0.5000 0.5000 0.2465
```

Output
As for the formation energy from the elements: -0.58 eV/atom. Its density of states at the Fermi level is 4.05 states/eV per cell. For the electronic total energy, the calculation gives -51.96 eV per atom.

=====

# 4
Density functional theory data (meta-GGA SCAN) for a PBEsol-optimized structure of LaTl3Sn.

Cell and atoms, written as CIF:
```
data_LaTl3Sn
_chemical_formula_sum 'La1 Tl3 Sn1'
_symmetry_space_group_name_H-M 'P m -3 m'
_symmetry_Int_Tables_number 221
_symmetry_space_group_name_Hall '-P 4 2 3'
_cell_length_a 5.9011
_cell_length_b 5.9011
_cell_length_c 5.9011
_cell_angle_alpha 90.00
_cell_angle_beta 90.00
_cell_angle_gamma 90.00
loop_
_atom_site_label
_atom_site_type_symbol
_atom_site_fract_x
_atom_site_fract_y
_atom_site_fract_z
La1 La 0.0000 0.0000 0.0000
Tl1 Tl 0.0000 0.0000 0.5000
Sn1 Sn 0.5000 0.5000 0.5000
```

Output
As for the formation energy from the elements: 0.61 eV/atom. Its density of states at the Fermi level is 3.62 states/eV per cell. For the electronic total energy, the calculation gives -58.61 eV per atom.

=====

# 5
Density functional theory data (meta-GGA SCAN) for a PBEsol-optimized structure of La2YSn2.

Cell and atoms, written as CIF:
```
data_La2YSn2
_chemical_formula_sum 'La4 Y2 Sn4'
_symmetry_space_group_name_H-M 'P 4/m b m'
_symmetry_Int_Tables_number 127
_symmetry_space_group_name_Hall '-P 4 2ab'
_cell_length_a 8.1071
_cell_length_b 8.1071
_cell_length_c 4.6492
_cell_angle_alpha 90.00
_cell_angle_beta 90.00
_cell_angle_gamma 90.00
loop_
_atom_site_label
_atom_site_type_symbol
_atom_site_fract_x
_atom_site_fract_y
_atom_site_fract_z
La1 La 0.1721 0.3279 0.0000
Y1 Y 0.0000 0.0000 0.5000
Sn1 Sn 0.1292 0.6292 0.5000
```

Output
As for the formation energy from the elements: -0.88 eV/atom. Its density of states at the Fermi level is 9.28 states/eV per cell. For the electronic total energy, the calculation gives -38.06 eV per atom.

=====

# 6
Density functional theory data (meta-GGA SCAN) for a PBEsol-optimized structure of La2Zn5Sn.

Cell and atoms, written as CIF:
```
data_La2Zn5Sn
_chemical_formula_sum 'La8 Zn20 Sn4'
_symmetry_space_group_name_H-M 'C m c m'
_symmetry_Int_Tables_number 63
_symmetry_space_group_name_Hall '-C 2c 2'
_cell_length_a 4.4848
_cell_length_b 16.4795
_cell_length_c 9.0028
_cell_angle_alpha 90.00
_cell_angle_beta 90.00
_cell_angle_gamma 90.00
loop_
_atom_site_label
_atom_site_type_symbol
_atom_site_fract_x
_atom_site_fract_y
_atom_site_fract_z
La1 La 0.0000 0.0000 0.0000
La2 La 0.0000 0.2081 0.2500
Zn1 Zn 0.0000 0.1845 0.6091
Zn2 Zn 0.0000 0.3428 0.5140
Zn3 Zn 0.0000 0.3972 0.2500
Sn1 Sn 0.0000 0.4424 0.7500
```

Output
As for the formation energy from the elements: -0.56 eV/atom. Its density of states at the Fermi level is 14.40 states/eV per cell. For the electronic total energy, the calculation gives -24.27 eV per atom.

=====

# 7
Density functional theory data (meta-GGA SCAN) for a PBEsol-optimized structure of La2Zn2Sn.

Cell and atoms, written as CIF:
```
data_La2Zn2Sn
_chemical_formula_sum 'La4 Zn4 Sn2'
_symmetry_space_group_name_H-M 'P 4/m b m'
_symmetry_Int_Tables_number 127
_symmetry_space_group_name_Hall '-P 4 2ab'
_cell_length_a 7.2328
_cell_length_b 7.2328
_cell_length_c 4.6830
_cell_angle_alpha 90.00
_cell_angle_beta 90.00
_cell_angle_gamma 90.00
loop_
_atom_site_label
_atom_site_type_symbol
_atom_site_fract_x
_atom_site_fract_y
_atom_site_fract_z
La1 La 0.1759 0.3241 0.0000
Zn1 Zn 0.1217 0.6217 0.5000
Sn1 Sn 0.0000 0.0000 0.5000
```

Output
As for the formation energy from the elements: -0.60 eV/atom. Its density of states at the Fermi level is 5.15 states/eV per cell. For the electronic total energy, the calculation gives -30.43 eV per atom.

=====

# 8
Density functional theory data (meta-GGA SCAN) for a PBEsol-optimized structure of SrLa5.

Cell and atoms, written as CIF:
```
data_SrLa5
_chemical_formula_sum 'Sr2 La10'
_symmetry_space_group_name_H-M 'C 1 m 1'
_symmetry_Int_Tables_number 8
_cell_length_a 13.9344
_cell_length_b 3.6874
_cell_length_c 8.8343
_cell_angle_alpha 90.00
_cell_angle_beta 105.02
_cell_angle_gamma 90.00
loop_
_symmetry_equiv_pos_as_xyz
'x,y,z'
'x,-y,z'
'x+1/2,y+1/2,z'
'x+1/2,-y+1/2,z'
loop_
_atom_site_label
_atom_site_type_symbol
_atom_site_fract_x
_atom_site_fract_y
_atom_site_fract_z
Sr1 Sr 0.0000 0.0000 0.0000
La1 La 0.0507 0.0000 0.6034
La2 La 0.1729 0.5000 0.3470
La3 La 0.2301 0.5000 0.9502
La4 La 0.3173 0.0000 0.6587
La5 La 0.3818 0.0000 0.2923
```

Output
As for the formation energy from the elements: 0.09 eV/atom. Its density of states at the Fermi level is 18.23 states/eV per cell. For the electronic total energy, the calculation gives -39.55 eV per atom.

=====

# 9
Density functional theory data (meta-GGA SCAN) for a PBEsol-optimized structure of SrLa2.

Cell and atoms, written as CIF:
```
data_SrLa2
_chemical_formula_sum 'Sr2 La4'
_symmetry_space_group_name_H-M 'I 4/m m m'
_symmetry_Int_Tables_number 139
_symmetry_space_group_name_Hall '-I 4 2'
_cell_length_a 3.7528
_cell_length_b 3.7528
_cell_length_c 16.5461
_cell_angle_alpha 90.00
_cell_angle_beta 90.00
_cell_angle_gamma 90.00
loop_
_atom_site_label
_atom_site_type_symbol
_atom_site_fract_x
_atom_site_fract_y
_atom_site_fract_z
Sr1 Sr 0.0000 0.0000 0.0000
La1 La 0.0000 0.0000 0.3206
```

Output
As for the formation energy from the elements: 0.08 eV/atom. Its density of states at the Fermi level is 6.72 states/eV per cell. For the electronic total energy, the calculation gives -36.08 eV per atom.

=====

# 10
Density functional theory data (meta-GGA SCAN) for a PBEsol-optimized structure of SrLa2.

Cell and atoms, written as CIF:
```
data_SrLa2
_chemical_formula_sum 'Sr1 La2'
_symmetry_space_group_name_H-M 'P -3 m 1'
_symmetry_Int_Tables_number 164
_symmetry_space_group_name_Hall '-P 3 2"'
_cell_length_a 3.7814
_cell_length_b 3.7814
_cell_length_c 9.4531
_cell_angle_alpha 90.00
_cell_angle_beta 90.00
_cell_angle_gamma 120.00
loop_
_atom_site_label
_atom_site_type_symbol
_atom_site_fract_x
_atom_site_fract_y
_atom_site_fract_z
Sr1 Sr 0.0000 0.0000 0.0000
La1 La 0.3333 0.6667 0.3512
```

Output
As for the formation energy from the elements: 0.10 eV/atom. Its density of states at the Fermi level is 3.59 states/eV per cell. For the electronic total energy, the calculation gives -36.07 eV per atom.